First-principles (GGA-PBE) data for a relaxed structure of NdDyTmTh2, as listed in the Alexandria database.

Lattice parameters (Å, degrees): 6.670 6.665 8.503 113.08 90.00 90.00
Fractional positions:
1 Th 0.500 0.247 0.000
2 Th 0.000 0.753 0.000
3 Th 0.000 0.247 0.000
4 Th 0.500 0.753 0.000
5 Dy 0.750 0.757 0.513
6 Dy 0.250 0.243 0.487
7 Tm 0.750 0.151 0.302
8 Tm 0.250 0.849 0.698
9 Nd 0.250 0.653 0.306
10 Nd 0.750 0.347 0.694

Output
- energy of formation from the pure elements (eV per atom) = 0.42



First-principles (GGA-PBE) data for a relaxed structure of Ba2Se3, as listed in the Alexandria database.

Lattice parameters (Å, degrees): 8.622 8.622 8.622 32.71 32.71 32.71
Fractional positions:
1 Ba 0.411 0.411 0.411
2 Ba 0.589 0.589 0.589
3 Se 0.000 0.000 0.000
4 Se 0.831 0.831 0.831
5 Se 0.169 0.169 0.169

Output
- energy relative to the elements, uncorrected (kcal/mol of atoms) = -33.97



First-principles (GGA-PBE) data for a relaxed structure of CsCeNiCl6, as listed in the Alexandria database.

Lattice parameters (Å, degrees): 6.741 6.740 7.867 90.02 90.01 59.99
Site moments in Bohr magnetons follow the coordinates.
Fractional positions:
1 Cl 0.616 0.354 0.687  0.05
2 Cl 0.354 0.029 0.687  0.05
3 Cl 0.354 0.616 0.313  0.05
4 Cl 0.029 0.616 0.687  0.05
5 Cl 0.616 0.029 0.313  0.05
6 Cl 0.029 0.354 0.313  0.05
7 Cs 0.000 0.000 0.000  0.00
8 Ce 0.667 0.667 0.500  -0.73
9 Ni 0.333 0.333 0.500  1.35

Output
- energy relative to the elements, uncorrected (kcal/mol of atoms) = -37.62